The following is a PBE calculation of Tb2Nd7Ho3 after structural relaxation, from Alexandria via LeMat-Bulk.

Cell and atoms, written as CIF:
```
data_Tb2Nd7Ho3
_cell_length_a 5.5410
_cell_length_b 32.5023
_cell_length_c 4.6759
_cell_angle_alpha 90.00
_cell_angle_beta 90.00
_cell_angle_gamma 90.00
_space_group_name_H-M_alt 'C m m m'
_space_group_IT_number 65
_space_group_name_Hall '-C 2 2'
loop_
_atom_site_label
_atom_site_type_symbol
_atom_site_fract_x
_atom_site_fract_y
_atom_site_fract_z
Tb1 Tb 0.0000 0.1596 0.0000
Nd1 Nd 0.0000 0.0000 0.0000
Nd2 Nd 0.0000 0.0794 0.5000
Nd3 Nd 0.0000 0.2644 0.0000
Nd4 Nd 0.0000 0.4171 0.0000
Ho1 Ho 0.0000 0.3420 0.5000
Ho2 Ho 0.0000 0.5000 0.5000
```

Calculated values
- ΔE to the lowest computed polymorph (meV per atom) = 188
- energy relative to the elements (eV per formula unit) = 3.1
- total energy (eV per atom) = -4.4408